(1)
CaScB12: optimized geometry, PBE.

```
data_CaScB12
_symmetry_space_group_name_H-M 'P 1'
_symmetry_Int_Tables_number 1
_cell_length_a 4.107
_cell_length_b 4.107
_cell_length_c 8.217
_cell_angle_alpha 90.00
_cell_angle_beta 90.00
_cell_angle_gamma 90.00
loop_
_symmetry_equiv_pos_as_xyz
'x,y,z'
loop_
_atom_site_label
_atom_site_fract_x
_atom_site_fract_y
_atom_site_fract_z
Ca1 0.000 0.000 0.000
Sc1 0.000 0.000 0.500
B1 0.200 0.500 0.253
B2 0.200 0.500 0.747
B3 0.500 0.200 0.253
B4 0.500 0.200 0.747
B5 0.500 0.500 0.101
B6 0.500 0.500 0.401
B7 0.500 0.500 0.599
B8 0.500 0.500 0.899
B9 0.500 0.800 0.253
B10 0.500 0.800 0.747
B11 0.800 0.500 0.253
B12 0.800 0.500 0.747
```

Summary:
ΔH_f (0 K) ... -313 meV/atom
V ... 9.90 Å³ per atom
Energy ... -6.632 eV/atom

=====

(2)
CaSc2SnB: optimized geometry, PBE.

```
data_CaSc2SnB
_symmetry_space_group_name_H-M 'P 1'
_symmetry_Int_Tables_number 1
_cell_length_a 4.777
_cell_length_b 4.777
_cell_length_c 4.958
_cell_angle_alpha 90.00
_cell_angle_beta 90.00
_cell_angle_gamma 90.00
loop_
_symmetry_equiv_pos_as_xyz
'x,y,z'
loop_
_atom_site_label
_atom_site_fract_x
_atom_site_fract_y
_atom_site_fract_z
Ca1 0.000 0.000 0.000
Sc1 0.000 0.500 0.500
Sc2 0.500 0.000 0.500
Sn1 0.500 0.500 0.000
B1 0.500 0.500 0.500
```

Summary:
ΔH_f (0 K) ... -56 meV/atom
V ... 22.63 Å³ per atom
Energy ... -5.125 eV/atom

=====

(3)
CaY2ScB: optimized geometry, PBE.

```
data_CaY2ScB
_symmetry_space_group_name_H-M 'P 1'
_symmetry_Int_Tables_number 1
_cell_length_a 5.403
_cell_length_b 5.403
_cell_length_c 5.517
_cell_angle_alpha 90.00
_cell_angle_beta 90.00
_cell_angle_gamma 90.00
loop_
_symmetry_equiv_pos_as_xyz
'x,y,z'
loop_
_atom_site_label
_atom_site_fract_x
_atom_site_fract_y
_atom_site_fract_z
Ca1 0.000 0.000 0.000
Y1 0.000 0.500 0.500
Y2 0.500 0.000 0.500
Sc1 0.000 0.000 0.500
B1 0.500 0.500 0.000
```

Summary:
ΔH_f (0 K) ... 1607 meV/atom
V ... 32.21 Å³ per atom
Energy ... -3.981 eV/atom

=====

(4)
CaB3Se: optimized geometry, PBE.

```
data_CaB3Se
_symmetry_space_group_name_H-M 'P 1'
_symmetry_Int_Tables_number 1
_cell_length_a 4.845
_cell_length_b 4.845
_cell_length_c 4.845
_cell_angle_alpha 90.00
_cell_angle_beta 90.00
_cell_angle_gamma 90.00
loop_
_symmetry_equiv_pos_as_xyz
'x,y,z'
loop_
_atom_site_label
_atom_site_fract_x
_atom_site_fract_y
_atom_site_fract_z
Ca1 0.000 0.000 0.000
B1 0.000 0.000 0.500
B2 0.000 0.500 0.000
B3 0.500 0.000 0.000
Se1 0.500 0.500 0.500
```

Summary:
ΔE_f (raw) ... 13.2 eV/f.u.
V ... 22.75 Å³ per atom
E above lowest polymorph ... 1.153 eV per atom
Energy ... -2.466 eV/atom

=====

(5)
CaBSe3: optimized geometry, PBE.

```
data_CaBSe3
_symmetry_space_group_name_H-M 'P 1'
_symmetry_Int_Tables_number 1
_cell_length_a 5.514
_cell_length_b 5.514
_cell_length_c 5.514
_cell_angle_alpha 90.00
_cell_angle_beta 90.00
_cell_angle_gamma 90.00
loop_
_symmetry_equiv_pos_as_xyz
'x,y,z'
loop_
_atom_site_label
_atom_site_fract_x
_atom_site_fract_y
_atom_site_fract_z
Ca1 0.000 0.000 0.000
B1 0.500 0.500 0.500
Se1 0.000 0.000 0.500
Se2 0.000 0.500 0.000
Se3 0.500 0.000 0.000
```

Summary:
ΔE_f (raw) ... 4.9 eV/f.u.
V ... 33.53 Å³ per atom
E above lowest polymorph ... 1.148 eV per atom
Energy ... -2.851 eV/atom

=====

(6)
Ca3BSe: optimized geometry, PBE.

```
data_Ca3BSe
_symmetry_space_group_name_H-M 'P 1'
_symmetry_Int_Tables_number 1
_cell_length_a 5.129
_cell_length_b 5.129
_cell_length_c 5.129
_cell_angle_alpha 90.00
_cell_angle_beta 90.00
_cell_angle_gamma 90.00
loop_
_symmetry_equiv_pos_as_xyz
'x,y,z'
loop_
_atom_site_label
_atom_site_fract_x
_atom_site_fract_y
_atom_site_fract_z
Ca1 0.000 0.000 0.500
Ca2 0.000 0.500 0.000
Ca3 0.500 0.000 0.000
B1 0.000 0.000 0.000
Se1 0.500 0.500 0.500
```

Summary:
ΔE_f (raw) ... -1.9 eV/f.u.
V ... 26.99 Å³ per atom
E above lowest polymorph ... 0.000 eV per atom
Energy ... -3.603 eV/atom

=====

(7)
Ca2BSe4: optimized geometry, PBE.

```
data_Ca2BSe4
_symmetry_space_group_name_H-M 'P 1'
_symmetry_Int_Tables_number 1
_cell_length_a 6.970
_cell_length_b 5.847
_cell_length_c 8.343
_cell_angle_alpha 90.00
_cell_angle_beta 106.56
_cell_angle_gamma 90.00
loop_
_symmetry_equiv_pos_as_xyz
'x,y,z'
loop_
_atom_site_label
_atom_site_fract_x
_atom_site_fract_y
_atom_site_fract_z
Ca1 0.223 0.250 0.436
Ca2 0.248 0.250 0.941
Ca3 0.752 0.750 0.059
Ca4 0.777 0.750 0.564
B1 0.251 0.750 0.191
B2 0.749 0.250 0.809
Se1 0.087 0.750 0.365
Se2 0.114 0.750 0.939
Se3 0.485 0.504 0.256
Se4 0.485 0.996 0.256
Se5 0.515 0.004 0.744
Se6 0.515 0.496 0.744
Se7 0.886 0.250 0.061
Se8 0.913 0.250 0.635
```

Summary:
ΔE_f (raw) ... -7.5 eV/f.u.
V ... 23.28 Å³ per atom
Energy ... -4.591 eV/atom

=====

(8)
CaB3Se: optimized geometry, PBE.

```
data_CaB3Se
_symmetry_space_group_name_H-M 'P 1'
_symmetry_Int_Tables_number 1
_cell_length_a 4.245
_cell_length_b 4.245
_cell_length_c 4.245
_cell_angle_alpha 90.00
_cell_angle_beta 90.00
_cell_angle_gamma 90.00
loop_
_symmetry_equiv_pos_as_xyz
'x,y,z'
loop_
_atom_site_label
_atom_site_fract_x
_atom_site_fract_y
_atom_site_fract_z
Ca1 0.000 0.000 0.000
B1 0.000 0.500 0.500
B2 0.500 0.000 0.500
B3 0.500 0.500 0.000
Se1 0.500 0.500 0.500
```

Summary:
ΔE_f (raw) ... 7.4 eV/f.u.
V ... 15.30 Å³ per atom
E above lowest polymorph ... 0.000 eV per atom
Energy ... -3.619 eV/atom

=====

(9)
CaBSe: optimized geometry, PBE.

```
data_CaBSe
_symmetry_space_group_name_H-M 'P 1'
_symmetry_Int_Tables_number 1
_cell_length_a 3.454
_cell_length_b 4.282
_cell_length_c 16.330
_cell_angle_alpha 90.00
_cell_angle_beta 90.00
_cell_angle_gamma 90.00
loop_
_symmetry_equiv_pos_as_xyz
'x,y,z'
loop_
_atom_site_label
_atom_site_fract_x
_atom_site_fract_y
_atom_site_fract_z
Ca1 0.000 0.000 0.000
Ca2 0.000 0.500 0.221
Ca3 0.500 0.000 0.721
Ca4 0.500 0.500 0.500
B1 0.000 0.000 0.431
B2 0.000 0.500 0.899
B3 0.500 0.000 0.399
B4 0.500 0.500 0.931
Se1 0.000 0.000 0.573
Se2 0.000 0.500 0.771
Se3 0.500 0.000 0.271
Se4 0.500 0.500 0.073
```

Summary:
ΔE_f (raw) ... -2.2 eV/f.u.
V ... 20.12 Å³ per atom
E above lowest polymorph ... 0.050 eV per atom
Energy ... -4.786 eV/atom

=====

(10)
CaBSe3: optimized geometry, PBE.

```
data_CaBSe3
_symmetry_space_group_name_H-M 'P 1'
_symmetry_Int_Tables_number 1
_cell_length_a 4.635
_cell_length_b 4.635
_cell_length_c 4.635
_cell_angle_alpha 90.00
_cell_angle_beta 90.00
_cell_angle_gamma 90.00
loop_
_symmetry_equiv_pos_as_xyz
'x,y,z'
loop_
_atom_site_label
_atom_site_fract_x
_atom_site_fract_y
_atom_site_fract_z
Ca1 0.000 0.000 0.000
B1 0.500 0.500 0.500
Se1 0.000 0.500 0.500
Se2 0.500 0.000 0.500
Se3 0.500 0.500 0.000
```

Summary:
ΔE_f (raw) ... -0.9 eV/f.u.
V ... 19.92 Å³ per atom
E above lowest polymorph ... 0.000 eV per atom
Energy ... -3.999 eV/atom

=====

(11)
CaBSe2: optimized geometry, PBE.

```
data_CaBSe2
_symmetry_space_group_name_H-M 'P 1'
_symmetry_Int_Tables_number 1
_cell_length_a 6.271
_cell_length_b 6.271
_cell_length_c 8.868
_cell_angle_alpha 90.00
_cell_angle_beta 90.00
_cell_angle_gamma 90.00
loop_
_symmetry_equiv_pos_as_xyz
'x,y,z'
loop_
_atom_site_label
_atom_site_fract_x
_atom_site_fract_y
_atom_site_fract_z
Ca1 0.000 0.000 0.000
Ca2 0.000 0.500 0.250
Ca3 0.500 0.000 0.750
Ca4 0.500 0.500 0.500
B1 0.000 0.000 0.500
B2 0.000 0.500 0.750
B3 0.500 0.000 0.250
B4 0.500 0.500 0.000
Se1 0.148 0.750 0.625
Se2 0.250 0.148 0.375
Se3 0.250 0.352 0.875
Se4 0.352 0.750 0.125
Se5 0.648 0.250 0.125
Se6 0.750 0.648 0.875
Se7 0.750 0.852 0.375
Se8 0.852 0.250 0.625
```

Summary:
ΔE_f (raw) ... -1.6 eV/f.u.
V ... 21.80 Å³ per atom
Energy ... -4.303 eV/atom

=====

(12)
CaBSe: optimized geometry, PBE.

```
data_CaBSe
_symmetry_space_group_name_H-M 'P 1'
_symmetry_Int_Tables_number 1
_cell_length_a 5.415
_cell_length_b 5.415
_cell_length_c 8.595
_cell_angle_alpha 90.00
_cell_angle_beta 90.00
_cell_angle_gamma 90.00
loop_
_symmetry_equiv_pos_as_xyz
'x,y,z'
loop_
_atom_site_label
_atom_site_fract_x
_atom_site_fract_y
_atom_site_fract_z
Ca1 0.000 0.500 0.000
Ca2 0.000 0.500 0.500
Ca3 0.500 0.000 0.000
Ca4 0.500 0.000 0.500
B1 0.000 0.000 0.086
B2 0.000 0.000 0.914
B3 0.500 0.500 0.414
B4 0.500 0.500 0.586
Se1 0.000 0.000 0.312
Se2 0.000 0.000 0.688
Se3 0.500 0.500 0.188
Se4 0.500 0.500 0.812
```

Summary:
ΔE_f (raw) ... -2.1 eV/f.u.
V ... 21.00 Å³ per atom
E above lowest polymorph ... 0.076 eV per atom
Energy ... -4.759 eV/atom